The following is a PBE calculation of an optimized crystal structure of DySc2Sn2, from Alexandria.

Summary:
As for the calculated formation energy: -552 meV/atom.

Unit cell a=4.973 b=4.973 c=6.396 alpha=67.12 beta=67.12 gamma=60.00
Fractional coordinates of all 5 atoms:
Sc 0.796 0.296 0.612
Sn 0.410 0.910 0.770
Sc 0.204 0.704 0.388
Dy 0.000 0.500 0.000
Sn 0.590 0.090 0.230